1.
{
  "formula": "GaCo2TcBi",
  "functional": "GGA-PBE",
  "state": "relaxed",
  "cell": [[4.7612, 0.0000, 0.0000], [0.0000, 5.2827, 0.0000], [0.0000, 0.0000, 4.7612]],
  "species": ["Co", "Ga", "Co", "Bi", "Tc"],
  "fractional_positions": [[0.0000, 0.0000, 0.5000], [0.0000, 0.5000, 0.0000], [0.5000, 0.0000, 0.0000], [0.0000, 0.0000, 0.0000], [0.5000, 0.5000, 0.5000]],
  "dos_ef_per_ev_cell": 7.653,
  "magnetic_moment_mub_per_fu": 6.62,
  "e_tot_ev_per_atom": -4.454,
  "spacegroup": "P4/mmm, No. 123",
  "crystal_system": "tetragonal"
}

***

2.
{
  "formula": "TlGa2CoBi",
  "functional": "GGA-PBE",
  "state": "relaxed",
  "cell": [[4.6826, 0.0000, 0.0000], [0.0000, 4.6826, 0.0000], [0.0000, 0.0000, 5.2961]],
  "species": ["Ga", "Co", "Tl", "Ga", "Bi"],
  "fractional_positions": [[0.0000, 0.5000, 0.0000], [0.0000, 0.0000, 0.0000], [0.5000, 0.5000, 0.5000], [0.5000, 0.0000, 0.0000], [0.0000, 0.0000, 0.5000]],
  "dos_ef_per_ev_cell": 3.240,
  "magnetic_moment_mub_per_fu": 0.00,
  "e_tot_ev_per_atom": -3.829,
  "relative_energy_kj_per_mol_atoms": 0.0,
  "spacegroup": "P4/mmm, No. 123",
  "crystal_system": "tetragonal"
}

***

3.
{
  "formula": "TlGa2CoBi",
  "functional": "GGA-PBE",
  "state": "relaxed",
  "cell": [[-4.0325, 3.6328, -1.5201], [-3.3143, -3.5475, 0.3140], [-0.8740, 1.2958, 5.4153]],
  "species": ["Ga", "Bi", "Co", "Ga", "Tl"],
  "fractional_positions": [[0.5000, 0.0000, 0.0000], [0.0000, 0.0000, 0.0000], [0.0000, 0.5000, 0.0000], [0.0000, 0.0000, 0.5000], [0.5000, 0.5000, 0.5000]],
  "dos_ef_per_ev_cell": 3.843,
  "magnetic_moment_mub_per_fu": 1.13,
  "e_tot_ev_per_atom": -3.079,
  "relative_energy_kj_per_mol_atoms": 72.3,
  "spacegroup": "P4/mmm, No. 123",
  "crystal_system": "tetragonal"
}

***

4.
{
  "formula": "V2GaCoBi",
  "functional": "GGA-PBE",
  "state": "relaxed",
  "cell": [[4.4729, 0.0000, 0.0000], [0.0000, 4.7591, 0.0000], [0.0000, 0.0000, 4.4729]],
  "species": ["V", "V", "Bi", "Co", "Ga"],
  "fractional_positions": [[0.0000, 0.0000, 0.5000], [0.5000, 0.0000, 0.0000], [0.0000, 0.5000, 0.0000], [0.0000, 0.0000, 0.0000], [0.5000, 0.5000, 0.5000]],
  "dos_ef_per_ev_cell": 6.093,
  "magnetic_moment_mub_per_fu": 3.05,
  "e_tot_ev_per_atom": -5.661,
  "spacegroup": "P4/mmm, No. 123",
  "crystal_system": "tetragonal"
}

***

5.
{
  "formula": "ZrGa2CoBi",
  "functional": "GGA-PBE",
  "state": "relaxed",
  "cell": [[5.2513, 0.0000, 0.0000], [0.0000, 4.6225, 0.0000], [0.0000, 0.0000, 5.2513]],
  "species": ["Zr", "Ga", "Ga", "Bi", "Co"],
  "fractional_positions": [[0.5000, 0.5000, 0.5000], [0.5000, 0.0000, 0.0000], [0.0000, 0.0000, 0.5000], [0.0000, 0.0000, 0.0000], [0.0000, 0.5000, 0.0000]],
  "dos_ef_per_ev_cell": 6.330,
  "magnetic_moment_mub_per_fu": 0.00,
  "e_tot_ev_per_atom": -3.972,
  "spacegroup": "P4/mmm, No. 123",
  "crystal_system": "tetragonal"
}

***

6.
{
  "formula": "Gd2CoBi",
  "functional": "GGA-PBE",
  "state": "relaxed",
  "cell": [[3.7592, 0.0000, 0.0000], [1.8796, 3.2556, 0.0000], [1.8796, 1.0852, 9.6048]],
  "species": ["Bi", "Gd", "Co", "Gd"],
  "fractional_positions": [[0.0000, 0.0000, 0.0000], [0.8866, 0.8866, 0.3402], [0.5000, 0.5000, 0.5000], [0.1134, 0.1134, 0.6598]],
  "dos_ef_per_ev_cell": 1.931,
  "magnetic_moment_mub_per_fu": 14.10,
  "e_tot_ev_per_atom": -9.885,
  "spacegroup": "R-3m, No. 166",
  "crystal_system": "trigonal"
}

***

7.
{
  "formula": "Gd3CoBi",
  "functional": "GGA-PBE",
  "state": "relaxed",
  "cell": [[-3.9532, 0.6272, -3.3256], [0.4983, -4.9502, -1.5259], [-3.3474, -1.4776, 3.7004]],
  "species": ["Gd", "Co", "Gd", "Bi", "Gd"],
  "fractional_positions": [[0.0000, 0.0000, 0.5000], [0.0000, 0.0000, 0.0000], [0.5000, 0.0000, 0.0000], [0.5000, 0.5000, 0.5000], [0.0000, 0.5000, 0.0000]],
  "dos_ef_per_ev_cell": 4.482,
  "magnetic_moment_mub_per_fu": 21.92,
  "e_tot_ev_per_atom": -11.046,
  "spacegroup": "Pm-3m, No. 221",
  "crystal_system": "cubic"
}

***

8.
{
  "formula": "GdCoBi2",
  "functional": "GGA-PBE",
  "state": "relaxed",
  "cell": [[-2.2957, -2.5699, -0.7792], [-1.7956, -1.6076, 2.5832], [-8.6366, 5.3627, -0.2503]],
  "species": ["Bi", "Co", "Gd", "Bi"],
  "fractional_positions": [[0.8916, 0.8916, 0.3252], [0.5000, 0.5000, 0.5000], [0.0000, 0.0000, 0.0000], [0.1084, 0.1084, 0.6748]],
  "dos_ef_per_ev_cell": 4.526,
  "magnetic_moment_mub_per_fu": 7.37,
  "e_tot_ev_per_atom": -7.048,
  "spacegroup": "R-3m, No. 166",
  "crystal_system": "trigonal"
}

***

9.
{
  "formula": "CoGeBi",
  "functional": "GGA-PBE",
  "state": "relaxed",
  "cell": [[4.6757, 0.0000, 0.0092], [0.0000, 3.8740, 0.0000], [-2.6167, 0.0000, 14.1172]],
  "species": ["Ge", "Bi", "Ge", "Co", "Bi", "Ge", "Co", "Co", "Bi", "Ge", "Co", "Bi"],
  "fractional_positions": [[0.6779, 0.5000, 0.2920], [0.7906, 0.5000, 0.0751], [0.3221, 0.0000, 0.2080], [0.8247, 0.5000, 0.7023], [0.2094, 0.5000, 0.9249], [0.3221, 0.5000, 0.7080], [0.1753, 0.0000, 0.7977], [0.8247, 0.0000, 0.2023], [0.7906, 0.0000, 0.5751], [0.6779, 0.0000, 0.7920], [0.1753, 0.5000, 0.2977], [0.2094, 0.0000, 0.4249]],
  "dos_ef_per_ev_cell": 7.235,
  "magnetic_moment_mub_per_fu": 0.00,
  "e_tot_ev_per_atom": -5.191,
  "relative_energy_kj_per_mol_atoms": 0.5,
  "spacegroup": "C2/m, No. 12",
  "crystal_system": "monoclinic"
}

***

10.
{
  "formula": "CoGeBi",
  "functional": "GGA-PBE",
  "state": "relaxed",
  "cell": [[4.7268, 0.0000, -0.0012], [0.0000, 4.1981, 0.0000], [-1.7741, 0.0000, 5.8147]],
  "species": ["Co", "Bi", "Ge", "Bi", "Co", "Ge"],
  "fractional_positions": [[0.3921, 0.2500, 0.1204], [0.3024, 0.2500, 0.5962], [0.1447, 0.7500, 0.9554], [0.6976, 0.7500, 0.4038], [0.6079, 0.7500, 0.8796], [0.8553, 0.2500, 0.0446]],
  "dos_ef_per_ev_cell": 2.625,
  "magnetic_moment_mub_per_fu": 0.00,
  "e_tot_ev_per_atom": -5.174,
  "relative_energy_kj_per_mol_atoms": 2.1,
  "spacegroup": "P2_1/m, No. 11",
  "crystal_system": "monoclinic"
}

***

11.
{
  "formula": "CoGeBi",
  "functional": "GGA-PBE",
  "state": "relaxed",
  "cell": [[-3.0792, -4.2134, -0.4264], [0.7193, -0.8775, 3.4767], [-4.9897, 3.4538, 1.9041]],
  "species": ["Ge", "Bi", "Co", "Bi", "Ge", "Co"],
  "fractional_positions": [[0.0000, 0.5000, 0.7692], [0.0000, 0.0000, 0.3381], [0.7362, 0.0000, 0.7070], [0.5000, 0.5000, 0.0126], [0.5000, 0.5000, 0.5197], [0.2638, 0.0000, 0.7070]],
  "dos_ef_per_ev_cell": 3.571,
  "magnetic_moment_mub_per_fu": 0.00,
  "e_tot_ev_per_atom": -5.158,
  "relative_energy_kj_per_mol_atoms": 3.8,
  "spacegroup": "Pmm2, No. 25",
  "crystal_system": "orthorhombic"
}

***

12.
{
  "formula": "CoGeBi",
  "functional": "GGA-PBE",
  "state": "relaxed",
  "cell": [[-4.2053, 1.1580, -1.7239], [-0.6426, -4.1160, -1.1973], [-0.8734, -3.4869, 12.4553]],
  "species": ["Ge", "Co", "Bi", "Co", "Bi", "Co", "Ge", "Ge", "Bi", "Ge", "Bi", "Co"],
  "fractional_positions": [[0.5734, 0.5000, 0.0969], [0.4354, 0.5000, 0.6273], [0.1286, 0.0000, 0.9043], [0.0241, 0.5000, 0.0388], [0.1286, 0.5000, 0.4043], [0.0241, 0.0000, 0.5388], [0.5734, 0.0000, 0.5969], [0.9243, 0.0000, 0.1100], [0.5744, 0.5000, 0.8393], [0.9243, 0.5000, 0.6100], [0.5744, 0.0000, 0.3393], [0.4354, 0.0000, 0.1273]],
  "dos_ef_per_ev_cell": 7.383,
  "magnetic_moment_mub_per_fu": 0.00,
  "e_tot_ev_per_atom": -5.138,
  "relative_energy_kj_per_mol_atoms": 5.6,
  "spacegroup": "Cm, No. 8",
  "crystal_system": "monoclinic"
}